The following is a PBE-GGA calculation of a relaxed structure of CsHfSb2I, from Alexandria via LeMat-Bulk.

Calculated values
Its crystal system is tetragonal.

Cell: 5.5368 5.5368 6.3255 Å, 90.00 90.00 90.00°
Space group P4/mmm (No. 123)
Asymmetric unit:
Cs  0.0000  0.0000  0.0000
Hf  0.5000  0.5000  0.5000
Sb  0.0000  0.5000  0.5000
I  0.5000  0.5000  0.0000

***

The following is a PBE-GGA calculation of a relaxed structure of CsHfSb2I, from Alexandria via LeMat-Bulk.

Calculated values
Its crystal system is tetragonal.

Cell: 6.0879 6.0879 6.3750 Å, 90.00 90.00 90.00°
Space group P4/mmm (No. 123)
Asymmetric unit:
Cs  0.0000  0.0000  0.0000
Hf  0.5000  0.5000  0.5000
Sb  0.0000  0.5000  0.0000
I  0.0000  0.0000  0.5000

***

The following is a PBE-GGA calculation of a relaxed structure of Cs2HfSiI6, from Alexandria via LeMat-Bulk.

Calculated values
Its crystal system is tetragonal.

Cell: 8.3666 8.3666 13.0167 Å, 90.00 90.00 90.00°
Space group I4/mmm (No. 139)
Asymmetric unit:
Cs  0.0000  0.5000  0.2500
Hf  0.0000  0.0000  0.0000
Si  0.0000  0.0000  0.5000
I  0.0000  0.0000  0.2219
I  0.2457  0.2457  0.0000

***

The following is a PBE-GGA calculation of a relaxed structure of Cs2SrHfI6, from Alexandria via LeMat-Bulk.

Calculated values
Its crystal system is cubic.

Cell: 12.3104 12.3104 12.3104 Å, 90.00 90.00 90.00°
Space group Fm-3m (No. 225)
Asymmetric unit:
Cs  0.2500  0.2500  0.2500
Sr  0.0000  0.0000  0.0000
Hf  0.0000  0.0000  0.5000
I  0.0000  0.0000  0.2622

***

Computed density (g/cm3) in order:
5.839, 4.792, 4.497, 4.605
Computed magnetic moment (μB/f.u.) in order:
0.00, 0.51, 2.00, 2.00
Computed total energy (eV per atom) in order:
-4.535, -2.480, -3.366, -3.432